Record 1
# Mn2InTeO6

A relaxed Mn2InTeO6 crystal (PBE+U, the Alexandria database).

Values from the calculation:
density of states at the Fermi level = 0.20 states/eV per atom
space group = R3 (146)

a b c (Å): 5.522 5.522 5.799
angles (deg): 61.56 61.56 60.00
Atoms (fractional coordinates):
Te 0.317 0.317 0.049
O 0.936 0.599 0.253
O 0.696 0.119 0.768
O 0.599 0.213 0.253
O 0.418 0.696 0.768
O 0.119 0.418 0.768
O 0.213 0.936 0.253
Mn 0.530 0.530 0.409
Mn 0.025 0.025 0.926
In 0.810 0.810 0.571

Record 2
# TiMnIn2O6

A relaxed TiMnIn2O6 crystal (PBE+U, the Alexandria database).

Values from the calculation:
space group = R3 (146)

a b c (Å): 5.416 5.416 5.748
angles (deg): 61.89 61.89 60.00
Atoms (fractional coordinates):
In 0.026 0.026 0.923
In 0.524 0.524 0.427
O 0.693 0.122 0.765
O 0.421 0.693 0.765
O 0.954 0.585 0.243
O 0.218 0.954 0.243
O 0.585 0.218 0.243
O 0.122 0.421 0.765
Mn 0.806 0.806 0.582
Ti 0.313 0.313 0.062

Record 3
# Mn2TlInO6

A relaxed Mn2TlInO6 crystal (PBE+U, the Alexandria database).

Values from the calculation:
density of states at the Fermi level = 0.04 states/eV per atom
space group = R3 (146)

a b c (Å): 5.426 5.424 5.705
angles (deg): 61.58 61.59 60.01
Atoms (fractional coordinates):
Mn 0.021 0.021 0.938
Mn 0.511 0.511 0.467
O 0.148 0.397 0.724
O 0.731 0.148 0.724
O 0.648 0.246 0.246
O 0.397 0.731 0.724
O 0.246 0.860 0.246
O 0.860 0.649 0.245
In 0.806 0.806 0.582
Tl 0.294 0.294 0.119

Record 4
# UMnInO6

A relaxed UMnInO6 crystal (PBE+U, the Alexandria database).

Values from the calculation:
density of states at the Fermi level = 0.41 states/eV per atom
space group = P-31c (163)

a b c (Å): 5.459 5.459 9.065
angles (deg): 90.00 90.00 120.00
Atoms (fractional coordinates):
In 0.333 0.667 0.250
In 0.667 0.333 0.750
U 0.667 0.333 0.250
U 0.333 0.667 0.750
O 0.337 0.321 0.374
O 0.663 0.984 0.874
O 0.016 0.679 0.874
O 0.984 0.663 0.374
O 0.321 0.984 0.626
O 0.321 0.337 0.874
O 0.679 0.663 0.126
O 0.016 0.337 0.626
O 0.337 0.016 0.126
O 0.679 0.016 0.374
O 0.984 0.321 0.126
O 0.663 0.679 0.626
Mn 0.000 0.000 0.500
Mn 0.000 0.000 0.000

Record 5
# MnV2InO8

A relaxed MnV2InO8 crystal (PBE+U, the Alexandria database).

Values from the calculation:
density of states at the Fermi level = 0.00 states/eV per atom
space group = I-4m2 (119)

a b c (Å): 5.750 5.750 5.750
angles (deg): 108.44 108.44 111.56
Atoms (fractional coordinates):
O 0.328 0.526 0.197
O 0.919 0.214 0.295
O 0.786 0.081 0.705
O 0.869 0.672 0.197
O 0.376 0.081 0.295
O 0.328 0.131 0.803
O 0.919 0.624 0.705
O 0.474 0.672 0.803
In 0.250 0.750 0.500
V 0.750 0.250 0.500
V 0.500 0.500 0.000
Mn 0.000 0.000 0.000

Record 6
# Mn2InWO6

A relaxed Mn2InWO6 crystal (PBE+U, the Alexandria database).

Values from the calculation:
density of states at the Fermi level = 0.00 states/eV per atom
space group = P1 (1)

a b c (Å): 5.503 5.424 5.764
angles (deg): 61.60 61.35 59.93
Atoms (fractional coordinates):
O 0.693 0.113 0.768
O 0.947 0.588 0.259
O 0.419 0.685 0.781
O 0.591 0.208 0.251
O 0.114 0.427 0.768
O 0.215 0.960 0.258
In 0.809 0.808 0.565
Mn 0.534 0.525 0.406
Mn 0.020 0.032 0.914
W 0.318 0.315 0.046

Record 7
# MnZnIn4O8

A relaxed MnZnIn4O8 crystal (PBE+U, the Alexandria database).

Values from the calculation:
density of states at the Fermi level = 0.11 states/eV per atom
space group = R3m (160)

a b c (Å): 6.461 6.461 6.330
angles (deg): 59.31 59.31 60.00
Atoms (fractional coordinates):
Zn 0.377 0.377 0.870
O 0.244 0.244 0.267
O 0.214 0.772 0.243
O 0.759 0.759 0.724
O 0.235 0.235 0.756
O 0.774 0.235 0.756
O 0.235 0.774 0.756
O 0.772 0.214 0.243
O 0.772 0.772 0.243
Mn 0.001 0.001 0.996
In 0.001 0.496 0.502
In 0.001 0.001 0.502
In 0.496 0.001 0.502
In 0.621 0.621 0.138

Record 8
# MnZnInO4

A relaxed MnZnInO4 crystal (PBE+U, the Alexandria database).

Values from the calculation:
space group = Imma (74)

a b c (Å): 6.074 6.170 6.170
angles (deg): 60.87 60.51 60.51
Atoms (fractional coordinates):
O 0.224 0.770 0.270
O 0.735 0.770 0.270
O 0.776 0.230 0.730
O 0.749 0.781 0.721
O 0.251 0.779 0.719
O 0.265 0.230 0.730
O 0.749 0.221 0.281
O 0.251 0.219 0.279
Zn 0.377 0.373 0.873
Zn 0.623 0.627 0.127
In 0.000 0.000 0.000
In 0.000 0.500 0.500
Mn 0.000 0.000 0.500
Mn 0.500 0.000 0.500

Record 9
# MnZnIn2O6

A relaxed MnZnIn2O6 crystal (PBE+U, the Alexandria database).

Values from the calculation:
space group = R3 (146)

a b c (Å): 5.347 5.349 5.630
angles (deg): 61.62 61.66 60.00
Atoms (fractional coordinates):
Mn 0.821 0.821 0.538
O 0.930 0.616 0.267
O 0.462 0.707 0.749
O 0.616 0.186 0.267
O 0.707 0.082 0.749
O 0.082 0.462 0.749
O 0.186 0.930 0.267
In 0.031 0.031 0.906
In 0.523 0.523 0.431
Zn 0.303 0.303 0.091

Record 10
# ZrMnIn2O6

A relaxed ZrMnIn2O6 crystal (PBE+U, the Alexandria database).

Values from the calculation:
space group = R3 (146)

a b c (Å): 5.533 5.534 5.871
angles (deg): 61.88 61.88 60.00
Atoms (fractional coordinates):
In 0.025 0.025 0.926
In 0.523 0.523 0.432
O 0.415 0.705 0.757
O 0.705 0.123 0.757
O 0.219 0.929 0.247
O 0.929 0.606 0.247
O 0.123 0.415 0.757
O 0.606 0.219 0.247
Zr 0.311 0.311 0.067
Mn 0.807 0.807 0.578

Record 11
# ZrMnIn2O

A relaxed ZrMnIn2O crystal (PBE+U, the Alexandria database).

Values from the calculation:
density of states at the Fermi level = 0.53 states/eV per atom
space group = P4/mmm (123)

a b c (Å): 5.080 3.846 5.080
angles (deg): 90.00 90.00 90.00
Atoms (fractional coordinates):
O 0.000 0.000 0.000
In 0.500 0.000 0.000
In 0.000 0.000 0.500
Zr 0.500 0.500 0.500
Mn 0.000 0.500 0.000

Short version: energy = -6.4354, -7.0573, -6.2859, -7.7537, -6.9995, -7.2207, -5.6278, -5.8236, -5.8321, -7.1904, -5.6366 eV/atom, in the order given.
Short version: size of the total moment = 9.320, 5.000, 8.001, 8.000, 3.988, 11.000, 2.584, 4.000, 2.953, 5.000, 3.466 μB/cell, in the order given.